Record 1
Material: AsPbI2
Method: DFT, PBE-GGA
State: relaxed

The value obtained for the raw total energy is -2.6562 eV/atom. For the density of states at the Fermi level, the calculation gives 8.20 states/eV per cell. The value obtained for the uncorrected formation energy is 0.833 eV/f.u.

It has space group I-42d (No. 122), with a = 5.349 Å, b = 5.349 Å, c = 20.389 Å, α = 90.00°, β = 90.00° and γ = 90.00°. Symmetry generates all atoms from As at (0.000, 0.000, 0.000), Pb at (0.000, 0.000, 0.500) and I at (0.229, 0.250, 0.125).

Record 2
Material: AsPb3I3
Method: DFT, PBE-GGA
State: relaxed

The value obtained for the raw total energy is -3.3613 eV/atom. The value obtained for the uncorrected formation energy is -3.104 eV/f.u.

It has space group P2_1/m (No. 11), with a = 9.321 Å, b = 4.520 Å, c = 12.973 Å, α = 90.00°, β = 91.58° and γ = 90.00°. Symmetry generates all atoms from As at (0.125, 0.250, 0.125), Pb at (0.090, 0.250, 0.893), Pb at (0.123, 0.250, 0.357), Pb at (0.341, 0.750, 0.125), I at (0.129, 0.250, 0.627), I at (0.372, 0.750, 0.872) and I at (0.373, 0.750, 0.375).

Record 3
Material: As2Pb2I
Method: DFT, PBE-GGA
State: relaxed

The value obtained for the raw total energy is -3.6266 eV/atom. For the density of states at the Fermi level, the calculation gives 4.56 states/eV per cell. The value obtained for the uncorrected formation energy is 0.133 eV/f.u.

It has space group P4/mbm (No. 127), with a = 8.926 Å, b = 8.926 Å, c = 3.916 Å, α = 90.00°, β = 90.00° and γ = 90.00°. Symmetry generates all atoms from As at (0.100, 0.400, 0.000), Pb at (0.157, 0.657, 0.500) and I at (0.000, 0.000, 0.000).

Record 4
Material: As2PbI
Method: DFT, PBE-GGA
State: relaxed

The value obtained for the raw total energy is -3.1798 eV/atom. For the density of states at the Fermi level, the calculation gives 15.66 states/eV per cell. The value obtained for the uncorrected formation energy is 1.838 eV/f.u.

It has space group I-42d (No. 122), with a = 7.385 Å, b = 7.385 Å, c = 10.466 Å, α = 90.00°, β = 90.00° and γ = 90.00°. Symmetry generates all atoms from As at (0.227, 0.250, 0.125), Pb at (0.000, 0.000, 0.000) and I at (0.000, 0.000, 0.500).

> What is the raw total energy in the third record?

-3.6266 eV/atom